Density functional theory data (PBE) for a relaxed structure of Ac4In3Ge.

## Properties
The value obtained for the formation energy is -501 meV per atom. For the density of states at the Fermi level, the calculation gives 7.469 states/eV per cell. As for the total energy: -33.27 eV per cell.

Geometry as CIF:
```
data_Ac4In3Ge
_chemical_formula_sum 'Ac4 In3 Ge1'
_cell_length_a 4.5291
_cell_length_b 4.9530
_cell_length_c 12.3870
_cell_angle_alpha 90.00
_cell_angle_beta 90.00
_cell_angle_gamma 90.00
_symmetry_space_group_name_H-M 'P m m 2'
_symmetry_Int_Tables_number 25
_symmetry_space_group_name_Hall 'P 2 -2'
loop_
_atom_site_label
_atom_site_type_symbol
_atom_site_fract_x
_atom_site_fract_y
_atom_site_fract_z
_atom_site_occupancy
Ac1 Ac 0.0000 0.0000 0.0000 1
Ac2 Ac 0.0000 0.5000 0.4895 1
Ac3 Ac 0.5000 0.0000 0.7080 1
Ac4 Ac 0.5000 0.5000 0.2147 1
In1 In 0.0000 0.5000 0.7760 1
In2 In 0.5000 0.0000 0.4197 1
In3 In 0.5000 0.5000 0.9307 1
Ge1 Ge 0.0000 0.0000 0.2726 1
```

---

Density functional theory data (PBE) for a relaxed structure of TaTc2Bi.

## Properties
The value obtained for the formation energy is 858 meV per atom. For the density of states at the Fermi level, the calculation gives 16.478 states/eV per cell. As for the total energy: -132.13 eV per cell.

Geometry as CIF:
```
data_TaTc2Bi
_chemical_formula_sum 'Ta4 Tc8 Bi4'
_cell_length_a 4.2547
_cell_length_b 4.2547
_cell_length_c 18.0469
_cell_angle_alpha 90.00
_cell_angle_beta 90.00
_cell_angle_gamma 90.00
_symmetry_space_group_name_H-M 'I -4 2 d'
_symmetry_Int_Tables_number 122
_symmetry_space_group_name_Hall 'I -4 2bw'
loop_
_atom_site_label
_atom_site_type_symbol
_atom_site_fract_x
_atom_site_fract_y
_atom_site_fract_z
_atom_site_occupancy
Ta1 Ta 0.0000 0.0000 0.0000 1
Tc1 Tc 0.1807 0.2500 0.1250 1
Bi1 Bi 0.0000 0.0000 0.5000 1
```

---

Density functional theory data (PBE) for a relaxed structure of La2ErTm4Th.

## Properties
The value obtained for the formation energy is 40 meV per atom. For the density of states at the Fermi level, the calculation gives 11.668 states/eV per cell. As for the total energy: -39.40 eV per cell.

Geometry as CIF:
```
data_La2ErTm4Th
_chemical_formula_sum 'La2 Er1 Tm4 Th1'
_cell_length_a 5.1135
_cell_length_b 5.1222
_cell_length_c 9.8168
_cell_angle_alpha 90.00
_cell_angle_beta 90.04
_cell_angle_gamma 90.00
_symmetry_space_group_name_H-M 'P 1 2/m 1'
_symmetry_Int_Tables_number 10
_symmetry_space_group_name_Hall '-P 2y'
loop_
_atom_site_label
_atom_site_type_symbol
_atom_site_fract_x
_atom_site_fract_y
_atom_site_fract_z
_atom_site_occupancy
La1 La 0.0000 0.0000 0.0000 1
La2 La 0.5000 0.5000 0.5000 1
Er1 Er 0.0000 0.0000 0.5000 1
Tm1 Tm 0.0001 0.5000 0.2464 1
Tm2 Tm 0.5002 0.0000 0.2464 1
Th1 Th 0.5000 0.5000 0.0000 1
```

---

Density functional theory data (PBE) for a relaxed structure of Fe2PCl.

## Properties
As for the uncorrected formation energy: -253 meV per atom. The relative energy among the computed polymorphs comes out at 0.197 eV/f.u. For the density of states at the Fermi level, the calculation gives 6.202 states/eV per cell. As for the total energy: -50.39 eV per cell.

Geometry as CIF:
```
data_Fe2PCl
_chemical_formula_sum 'Fe4 P2 Cl2'
_cell_length_a 6.1866
_cell_length_b 3.5084
_cell_length_c 5.8663
_cell_angle_alpha 90.00
_cell_angle_beta 96.84
_cell_angle_gamma 90.00
_symmetry_space_group_name_H-M 'C 1 m 1'
_symmetry_Int_Tables_number 8
_symmetry_space_group_name_Hall 'C -2y'
loop_
_atom_site_label
_atom_site_type_symbol
_atom_site_fract_x
_atom_site_fract_y
_atom_site_fract_z
_atom_site_occupancy
Fe1 Fe 0.0000 0.0000 0.0000 1
Fe2 Fe 0.1312 0.5000 0.7032 1
P1 P 0.3112 0.0000 0.8241 1
Cl1 Cl 0.0922 0.5000 0.3227 1
```

---

Density functional theory data (PBE) for a relaxed structure of LiDy2USe6.

## Properties
As for the uncorrected formation energy: -1465 meV per atom. For the density of states at the Fermi level, the calculation gives 1.583 states/eV per cell. As for the total energy: -173.89 eV per cell.

Geometry as CIF:
```
data_LiDy2USe6
_chemical_formula_sum 'Li3 Dy6 U3 Se18'
_cell_length_a 7.0941
_cell_length_b 7.0941
_cell_length_c 19.2205
_cell_angle_alpha 90.00
_cell_angle_beta 90.00
_cell_angle_gamma 120.00
_symmetry_space_group_name_H-M 'R 3'
_symmetry_Int_Tables_number 146
_symmetry_space_group_name_Hall 'R 3'
loop_
_atom_site_label
_atom_site_type_symbol
_atom_site_fract_x
_atom_site_fract_y
_atom_site_fract_z
_atom_site_occupancy
Li1 Li 0.0000 0.0000 0.0000 1
Dy1 Dy 0.0000 0.0000 0.2956 1
Dy2 Dy 0.0000 0.0000 0.8041 1
U1 U 0.0000 0.0000 0.4893 1
Se1 Se 0.0317 0.6701 0.0657 1
Se2 Se 0.0361 0.3427 0.5675 1
```

---

Density functional theory data (PBE) for a relaxed structure of Ac6TlAg5.

## Properties
The value obtained for the formation energy is -276 meV per atom. For the density of states at the Fermi level, the calculation gives 17.397 states/eV per cell. As for the total energy: -89.16 eV per cell.

Geometry as CIF:
```
data_Ac6TlAg5
_chemical_formula_sum 'Ac12 Tl2 Ag10'
_cell_length_a 17.7952
_cell_length_b 8.0310
_cell_length_c 5.6287
_cell_angle_alpha 90.00
_cell_angle_beta 108.27
_cell_angle_gamma 90.00
_symmetry_space_group_name_H-M 'C 1 2/m 1'
_symmetry_Int_Tables_number 12
_symmetry_space_group_name_Hall '-C 2y'
loop_
_atom_site_label
_atom_site_type_symbol
_atom_site_fract_x
_atom_site_fract_y
_atom_site_fract_z
_atom_site_occupancy
Ac1 Ac 0.0000 0.2416 0.0000 1
Ac2 Ac 0.1696 0.2463 0.6699 1
Tl1 Tl 0.0000 0.5000 0.5000 1
Ag1 Ag 0.0000 0.0000 0.5000 1
Ag2 Ag 0.1628 0.5000 0.1626 1
Ag3 Ag 0.1670 0.0000 0.1672 1
```

---

Density functional theory data (PBE) for a relaxed structure of Pm2Nd3Ho4.

## Properties
The value obtained for the formation energy is 18 meV per atom. The relative energy among the computed polymorphs comes out at 0.000 eV/f.u. For the density of states at the Fermi level, the calculation gives 13.196 states/eV per cell. As for the total energy: -41.95 eV per cell.

Geometry as CIF:
```
data_Pm2Nd3Ho4
_chemical_formula_sum 'Pm2 Nd3 Ho4'
_cell_length_a 6.2402
_cell_length_b 6.2449
_cell_length_c 8.0548
_cell_angle_alpha 75.13
_cell_angle_beta 82.60
_cell_angle_gamma 80.47
_symmetry_space_group_name_H-M 'P -1'
_symmetry_Int_Tables_number 2
_symmetry_space_group_name_Hall '-P 1'
loop_
_atom_site_label
_atom_site_type_symbol
_atom_site_fract_x
_atom_site_fract_y
_atom_site_fract_z
_atom_site_occupancy
Pm1 Pm 0.1670 0.3321 0.1666 1
Nd1 Nd 0.3897 0.4426 0.7230 1
Nd2 Nd 0.5000 0.0000 0.5000 1
Ho1 Ho 0.0532 0.7777 0.3883 1
Ho2 Ho 0.2747 0.8898 0.9460 1
```

---

Density functional theory data (PBE) for a relaxed structure of Nb2TeO8.

## Properties
As for the uncorrected formation energy: -1857 meV per atom. The relative energy among the computed polymorphs comes out at 0.000 eV/f.u. For the density of states at the Fermi level, the calculation gives 0.000 states/eV per cell. As for the total energy: -166.76 eV per cell.

Geometry as CIF:
```
data_Nb2TeO8
_chemical_formula_sum 'Nb4 Te2 O16'
_cell_length_a 9.2237
_cell_length_b 6.1392
_cell_length_c 5.6950
_cell_angle_alpha 90.00
_cell_angle_beta 95.99
_cell_angle_gamma 90.00
_symmetry_space_group_name_H-M 'C 1 2/m 1'
_symmetry_Int_Tables_number 12
_symmetry_space_group_name_Hall '-C 2y'
loop_
_atom_site_label
_atom_site_type_symbol
_atom_site_fract_x
_atom_site_fract_y
_atom_site_fract_z
_atom_site_occupancy
Nb1 Nb 0.1281 0.0000 0.1975 1
Te1 Te 0.0000 0.5000 0.5000 1
O1 O 0.1020 0.2798 0.3386 1
O2 O 0.1066 0.0000 0.8734 1
O3 O 0.1585 0.5000 0.7483 1
```

---

Density functional theory data (PBE) for a relaxed structure of V2ReAgW.

## Properties
The value obtained for the formation energy is 1446 meV per atom. For the density of states at the Fermi level, the calculation gives 4.536 states/eV per cell. As for the total energy: -39.26 eV per cell.

Geometry as CIF:
```
data_V2ReAgW
_chemical_formula_sum 'V2 Re1 Ag1 W1'
_cell_length_a 4.5624
_cell_length_b 4.5624
_cell_length_c 4.7960
_cell_angle_alpha 90.00
_cell_angle_beta 90.00
_cell_angle_gamma 90.00
_symmetry_space_group_name_H-M 'P 4/m m m'
_symmetry_Int_Tables_number 123
_symmetry_space_group_name_Hall '-P 4 2'
loop_
_atom_site_label
_atom_site_type_symbol
_atom_site_fract_x
_atom_site_fract_y
_atom_site_fract_z
_atom_site_occupancy
V1 V 0.0000 0.5000 0.0000 1
Re1 Re 0.0000 0.0000 0.0000 1
Ag1 Ag 0.5000 0.5000 0.5000 1
W1 W 0.0000 0.0000 0.5000 1
```

---

Density functional theory data (PBE) for a relaxed structure of ScCdPCl2.

## Properties
As for the uncorrected formation energy: -817 meV per atom. The relative energy among the computed polymorphs comes out at 0.000 eV/f.u. For the density of states at the Fermi level, the calculation gives 1.118 states/eV per cell. As for the total energy: -20.44 eV per cell.

Geometry as CIF:
```
data_ScCdPCl2
_chemical_formula_sum 'Sc1 Cd1 P1 Cl2'
_cell_length_a 4.8347
_cell_length_b 4.8347
_cell_length_c 5.4352
_cell_angle_alpha 90.00
_cell_angle_beta 90.00
_cell_angle_gamma 90.00
_symmetry_space_group_name_H-M 'P 4/m m m'
_symmetry_Int_Tables_number 123
_symmetry_space_group_name_Hall '-P 4 2'
loop_
_atom_site_label
_atom_site_type_symbol
_atom_site_fract_x
_atom_site_fract_y
_atom_site_fract_z
_atom_site_occupancy
Sc1 Sc 0.0000 0.0000 0.0000 1
Cd1 Cd 0.5000 0.5000 0.5000 1
P1 P 0.0000 0.0000 0.5000 1
Cl1 Cl 0.0000 0.5000 0.0000 1
```